(w)
Material: LaTa2Co
Method: DFT, PBE
State: relaxed

Computed properties:
* density of states at the Fermi level: 0.8193 states/eV/atom

Lattice parameters (Å, degrees): 4.775 4.775 4.775 60.00 60.00 60.00
Atoms (fractional coordinates):
Co  0.500  0.500  0.500
La  0.750  0.750  0.750
Ta  0.000  0.000  0.000
Ta  0.250  0.250  0.250

(x)
Material: LaTa2Co
Method: DFT, PBE
State: relaxed

Computed properties:
* density of states at the Fermi level: 1.0508 states/eV/atom

Lattice parameters (Å, degrees): 4.856 4.856 3.119 90.00 90.00 90.00
Atoms (fractional coordinates):
Co  0.500  0.000  0.500
La  0.000  0.500  0.500
Ta  0.000  0.000  0.000
Ta  0.500  0.500  0.000

Ordering by calculated energy gives the sequence (w), (x), with the first entry being the most stable.

(w)
Material: LaTaCo
Method: DFT, PBE
State: relaxed

Computed properties:
* density of states at the Fermi level: 1.0111 states/eV/atom

Lattice parameters (Å, degrees): 4.094 4.094 4.724 90.00 90.00 120.00
Atoms (fractional coordinates):
Co  0.000  0.000  0.862
La  0.667  0.333  0.324
Ta  0.333  0.667  0.814

(x)
Material: LaTaCo
Method: DFT, PBE
State: relaxed

Computed properties:
* density of states at the Fermi level: 1.0840 states/eV/atom

Lattice parameters (Å, degrees): 6.369 6.369 3.226 75.33 75.33 29.34
Atoms (fractional coordinates):
Co  0.038  0.038  0.962
La  0.339  0.339  0.661
Ta  0.623  0.623  0.377

(y)
Material: LaTaCo
Method: DFT, PBE
State: relaxed

Computed properties:
* density of states at the Fermi level: 1.0544 states/eV/atom

Lattice parameters (Å, degrees): 4.462 4.462 4.462 60.00 60.00 60.00
Atoms (fractional coordinates):
Co  0.500  0.500  0.500
La  0.750  0.750  0.750
Ta  0.000  0.000  0.000

Ordering by calculated energy gives the sequence (x), (w), (y), with the first entry being the most stable.

(w)
Material: LaTaCo
Method: DFT, PBE
State: relaxed

Computed properties:
* density of states at the Fermi level: 0.8386 states/eV/atom

Lattice parameters (Å, degrees): 4.412 4.412 6.554 90.00 90.00 90.00
Atoms (fractional coordinates):
La  0.000  0.500  0.883
La  0.500  0.000  0.117
Co  0.000  0.500  0.324
Co  0.500  0.000  0.676
Ta  0.500  0.500  0.500
Ta  0.000  0.000  0.500

(x)
Material: LaTaCo
Method: DFT, PBE
State: relaxed

Computed properties:
* density of states at the Fermi level: 1.6179 states/eV/atom

Lattice parameters (Å, degrees): 4.554 4.554 4.554 60.00 60.00 60.00
Atoms (fractional coordinates):
Co  0.750  0.750  0.750
La  0.000  0.000  0.000
Ta  0.500  0.500  0.500

Ordering by calculated energy gives the sequence (w), (x), with the first entry being the most stable.